1.
DFT (PBE) results for an optimized crystal structure of Cd5Ag2.

a = 5.3256 Å, b = 7.9785 Å, c = 7.2883 Å
α = 96.44°, β = 111.43°, γ = 90.00°
Sites, in units of the cell vectors:
Cd: 0.0375 0.0379 0.7286
Cd: 0.5547 0.8231 0.4311
Cd: 0.9625 0.9621 0.2714
Cd: 0.4453 0.1769 0.5689
Cd: 0.8764 0.3231 0.4311
Cd: 0.1844 0.7500 0.0000
Cd: 0.1236 0.6769 0.5689
Cd: 0.8156 0.2500 0.0000
Cd: 0.3089 0.4621 0.2714
Cd: 0.6911 0.5379 0.7286
Ag: 0.5951 0.8926 0.8550
Ag: 0.7401 0.6074 0.1450
Ag: 0.4049 0.1074 0.1450
Ag: 0.2599 0.3926 0.8550

Properties
The calculation puts the density of states at the Fermi level at 1.481 states/eV/f.u. As for the crystal system: monoclinic. As for the calculated formation energy: -3.8 kJ per mole of atoms. The total DFT energy (no corrections) is -1.508 eV/atom.


2.
DFT (PBE) results for an optimized crystal structure of Cd2Ag.

a = 13.5126 Å, b = 13.5126 Å, c = 13.5126 Å
α = 166.89°, β = 166.89°, γ = 18.58°
Sites, in units of the cell vectors:
Cd: 0.3267 0.8267 0.5000
Cd: 0.5767 0.5767 0.0000
Cd: 0.1733 0.6733 0.5000
Cd: 0.4233 0.4233 0.0000
Ag: 0.0000 0.0000 0.0000
Ag: 0.7500 0.2500 0.5000

Properties
The calculation puts the density of states at the Fermi level at 0.926 states/eV/f.u. As for the crystal system: tetragonal. As for the calculated formation energy: -1.0 kJ per mole of atoms. The total DFT energy (no corrections) is -1.571 eV/atom. The value obtained for the energy above the most stable polymorph in this dataset is 44 meV per atom.


3.
DFT (PBE) results for an optimized crystal structure of CdAg2.

a = 4.5920 Å, b = 4.5920 Å, c = 4.5920 Å
α = 60.00°, β = 60.00°, γ = 60.00°
Sites, in units of the cell vectors:
Cd: 0.0000 0.0000 0.0000
Ag: 0.2500 0.2500 0.2500
Ag: 0.7500 0.7500 0.7500

Properties
The calculation puts the density of states at the Fermi level at 1.282 states/eV/f.u. As for the crystal system: cubic. As for the calculated formation energy: 20.4 kJ per mole of atoms. The total DFT energy (no corrections) is -1.995 eV/atom. The value obtained for the energy above the most stable polymorph in this dataset is 252 meV per atom.


4.
DFT (PBE) results for an optimized crystal structure of Cd3Ag5.

a = 8.1942 Å, b = 8.1947 Å, c = 5.4689 Å
α = 90.00°, β = 90.00°, γ = 120.02°
Sites, in units of the cell vectors:
Ag: 0.3334 0.6666 0.5000
Ag: 0.7874 0.7874 0.2500
Ag: 0.2126 0.2126 0.7500
Ag: 0.2127 0.0001 0.2500
Ag: 0.9999 0.7873 0.7500
Ag: 0.3334 0.6666 0.0000
Ag: 0.7873 0.9999 0.7500
Ag: 0.6666 0.3333 0.5000
Ag: 0.6666 0.3333 0.0000
Ag: 0.0001 0.2127 0.2500
Cd: 0.5986 0.0001 0.2500
Cd: 0.5984 0.5984 0.7500
Cd: 0.0000 0.4014 0.7500
Cd: 0.4016 0.4016 0.2500
Cd: 0.4014 0.9999 0.7500
Cd: 0.0000 0.5986 0.2500

Properties
The calculation puts the density of states at the Fermi level at 1.646 states/eV/f.u. As for the crystal system: hexagonal. As for the calculated formation energy: 4.2 kJ per mole of atoms. The total DFT energy (no corrections) is -2.081 eV/atom. The value obtained for the energy above the most stable polymorph in this dataset is 87 meV per atom.